This record from the Alexandria database describes a crystal of Sn2Pd relaxed with PBEsol. The functional is meta-GGA SCAN.

Its calculated volume is 511.2 Å³/cell. The total magnetization is 0.00 μB/cell. The space group is I4_1/acd, No. 142. The value obtained for the energy relative to the elements is -0.3359 eV/atom.

Structure (extended XYZ):
```
24
Lattice="-2.176 -4.483 4.141 6.071 -2.040 0.981 -0.773 11.173 6.622" Properties=species:S:1:pos:R:3 pbc="T T T"
Pd 1.038 6.992 8.116
Pd 3.486 2.017 4.015
Pd -0.637 0.795 5.595
Pd 0.136 0.919 1.067
Pd -0.364 2.633 7.728
Pd 2.986 3.731 10.677
Pd 2.084 -2.343 3.627
Pd 3.759 3.855 6.148
Sn 3.151 -0.338 7.962
Sn 2.164 -5.117 4.131
Sn 0.195 -1.900 5.649
Sn -0.098 7.553 5.617
Sn 2.948 6.556 6.087
Sn -0.717 3.569 5.091
Sn 1.731 -1.406 0.990
Sn 3.230 -2.920 6.139
Sn 1.860 4.314 8.157
Sn 1.919 1.726 6.342
Sn -0.472 -3.274 2.881
Sn 1.252 0.352 3.574
Sn 4.367 -3.250 2.241
Sn 4.288 -0.668 4.064
Sn 1.892 4.342 4.091
Sn -1.186 5.311 7.687
```